Compound: CsLaBAu
Source: OQMD
Functional: PBE
Structure: optimized geometry

Computed properties:
As for the offset from the most stable computed form: 0.064 eV/atom. Its space-group type is No. 216. Its magnetic moment is 0.00 μB per formula unit.

Unit cell a=5.140 b=5.140 c=5.140 alpha=60.00 beta=60.00 gamma=60.00
Sites, in units of the cell vectors:
Cs: 0.000 0.000 0.000
La: 0.750 0.750 0.750
B: 0.250 0.250 0.250
Au: 0.500 0.500 0.500

=====

Compound: AlAgPd
Source: OQMD
Functional: PBE
Structure: optimized geometry

Computed properties:
As for the offset from the most stable computed form: 0.000 eV/atom. Its space-group type is No. 216.

Unit cell a=4.208 b=4.208 c=4.208 alpha=60.00 beta=60.00 gamma=60.00
Sites, in units of the cell vectors:
Al: 0.000 0.000 0.000
Ag: 0.750 0.750 0.750
Pd: 0.250 0.250 0.250

=====

Compound: Dy3C
Source: OQMD
Functional: PBE
Structure: optimized geometry

Computed properties:
For the raw total energy, the calculation gives -4.86 eV per atom. Its space-group type is No. 139. Its magnetic moment is 0.01 μB per formula unit.

Unit cell a=5.843 b=5.843 c=5.843 alpha=137.93 beta=137.93 gamma=61.01
Sites, in units of the cell vectors:
Dy: 0.000 0.000 0.000
Dy: 0.250 0.750 0.500
Dy: 0.750 0.250 0.500
C: 0.500 0.500 0.000

=====

Compound: SmMoPb
Source: OQMD
Functional: PBE
Structure: optimized geometry

Computed properties:
As for the offset from the most stable computed form: 0.000 eV/atom. Its space-group type is No. 216. Its magnetic moment is 0.42 μB per formula unit.

Unit cell a=4.870 b=4.870 c=4.870 alpha=60.00 beta=60.00 gamma=60.00
Sites, in units of the cell vectors:
Sm: 0.000 0.000 0.000
Mo: 0.500 0.500 0.500
Pb: 0.750 0.750 0.750

=====

Compound: ZnCo2Te
Source: OQMD
Functional: PBE
Structure: optimized geometry

Computed properties:
For the raw total energy, the calculation gives -4.16 eV per atom. Its space-group type is No. 216. Its magnetic moment is 2.19 μB per formula unit.

Unit cell a=4.399 b=4.399 c=4.399 alpha=60.00 beta=60.00 gamma=60.00
Sites, in units of the cell vectors:
Zn: 0.000 0.000 0.000
Co: 0.250 0.250 0.250
Co: 0.500 0.500 0.500
Te: 0.750 0.750 0.750

=====

Compound: Nb2Br
Source: OQMD
Functional: PBE
Structure: optimized geometry

Computed properties:
As for the offset from the most stable computed form: 1.886 eV/atom. Its space-group type is No. 227. Its magnetic moment is 8.74 μB per formula unit.

Unit cell a=8.564 b=8.564 c=8.564 alpha=60.00 beta=60.00 gamma=60.00
Sites, in units of the cell vectors:
Nb: 0.000 0.000 0.000
Nb: 0.000 0.000 0.500
Nb: 0.000 0.500 0.000
Nb: 0.500 0.000 0.000
Br: 0.125 0.125 0.125
Br: 0.875 0.875 0.875